1.
Density functional theory data (PBE) for a relaxed structure of SrRh3Pb5.

calculated total energy = -4.805 eV/atom
energy relative to the elements = -0.1079 eV per atom
spin magnetization = 0.00 μB/cell

Unit cell a=12.3822 b=9.3185 c=10.1889 alpha=90.00 beta=120.53 gamma=90.00
Last column: nearest neighbours and their distance in Å.
Space group C2/m (No. 12)
One atom of each set of equivalent atoms:
Sr: 0.1111 0.0000 0.3154  3 Rh 2.78-3.03
Rh: 0.0000 0.0000 0.0000  4 Pb 2.75-2.77, 2 Sr 2.78
Rh: 0.0000 0.0000 0.5000  4 Pb 2.70, 2 Sr 2.84
Rh: 0.1315 0.5000 0.6526  5 Pb 2.65-2.79
Rh: 0.1847 0.5000 0.1700  6 Pb 2.72-2.79
Pb: 0.0000 0.2971 0.0000  3 Rh 2.77-2.79
Pb: 0.0854 0.5000 0.3543  3 Rh 2.65-2.79
Pb: 0.1539 0.2169 0.6664  3 Rh 2.65-2.73
Pb: 0.2353 0.0000 0.0356  3 Rh 2.74-2.75

***

2.
Density functional theory data (PBE) for a relaxed structure of InTeIr4.

calculated total energy = -6.407 eV/atom
ΔE_f (raw) = 480.9 meV/atom
spin magnetization = 0.00 μB/cell

Unit cell a=7.5407 b=7.5407 c=7.5407 alpha=90.00 beta=90.00 gamma=90.00
Last column: nearest neighbours and their distance in Å.
Space group F-43m (No. 216)
One atom of each set of equivalent atoms:
In: 0.0000 0.0000 0.0000  12 Ir 3.13, 4 Te 3.27
Te: 0.2500 0.2500 0.2500  12 Ir 3.13, 4 In 3.27
Ir: 0.1251 0.1251 0.6251  6 Ir 2.66-2.67

***

3.
Density functional theory data (PBE) for a relaxed structure of NbCd2As.

calculated total energy = -3.819 eV/atom
energy relative to the elements = 0.3179 eV per atom
spin magnetization = 0.00 μB/cell

Unit cell a=7.9900 b=7.9900 c=5.3054 alpha=90.00 beta=90.00 gamma=90.00
Last column: nearest neighbours and their distance in Å.
Space group I-42d (No. 122)
One atom of each set of equivalent atoms:
Nb: 0.0000 0.0000 0.0000  2 As 2.65
Cd: 0.2263 0.2500 0.6250  2 Cd 2.68, 2 As 2.77
As: 0.0000 0.0000 0.5000  2 Nb 2.65, 4 Cd 2.77

***

4.
Density functional theory data (PBE) for a relaxed structure of Pr2Tl5Pb.

calculated total energy = -3.472 eV/atom
energy relative to the elements = -0.3349 eV per atom
spin magnetization = 0.00 μB/cell

Unit cell a=6.9999 b=13.8305 c=4.7731 alpha=90.00 beta=90.00 gamma=90.00
Last column: nearest neighbours and their distance in Å.
Space group Pbam (No. 55)
One atom of each set of equivalent atoms:
Pr: 0.2418 0.1239 0.0000  2 Pb 3.39, 10 Tl 3.42-3.51
Tl: 0.0000 0.5000 0.5000  6 Tl 3.41-3.45, 4 Pr 3.45, 2 Pb 3.50
Tl: 0.0104 0.7497 0.5000  7 Tl 3.41-3.50, 4 Pr 3.42-3.44, 1 Pb 3.46
Tl: 0.2401 0.3727 0.0000  6 Tl 3.41, 4 Pr 3.44-3.51, 2 Pb 3.48
Pb: 0.0000 0.0000 0.5000  4 Pr 3.39, 8 Tl 3.46-3.50

***

5.
Density functional theory data (PBE) for a relaxed structure of Ac4Te2AsPt.

calculated total energy = -5.589 eV/atom
ΔE_f (raw) = -1413.3 meV/atom
spin magnetization = 0.00 μB/cell

Unit cell a=8.0424 b=4.5012 c=8.2202 alpha=90.00 beta=108.45 gamma=90.00
Last column: nearest neighbours and their distance in Å.
Space group P2/m (No. 10)
One atom of each set of equivalent atoms:
Ac: 0.2288 0.0000 0.2141  2 Pt 3.08, 1 As 3.21, 1 Te 3.41
Ac: 0.2574 0.5000 0.7753  2 As 3.16, 1 Pt 3.18, 3 Te 3.39-3.42
Te: 0.0000 0.0000 0.5000  6 Ac 3.39-3.41
Te: 0.5000 0.5000 0.5000  6 Ac 3.42-3.48
As: 0.5000 0.0000 0.0000  6 Ac 3.16-3.21
Pt: 0.0000 0.5000 0.0000  6 Ac 3.08-3.18

***

6.
Density functional theory data (PBE) for a relaxed structure of Ac3SmS6.

calculated total energy = -6.323 eV/atom
ΔE_f (raw) = -2141.6 meV/atom
spin magnetization = 0.00 μB/cell

Unit cell a=12.3962 b=12.3962 c=14.4264 alpha=90.00 beta=90.00 gamma=120.00
Last column: nearest neighbours and their distance in Å.
Space group R-3 (No. 148, hexagonal axes)
One atom of each set of equivalent atoms:
Ac: 0.0465 0.7772 0.2021  6 S 2.96-3.03
Sm: 0.0000 0.0000 0.0000  6 S 2.78
Sm: 0.0000 0.0000 0.5000  6 S 2.83
S: 0.0259 0.8166 0.4021  1 Sm 2.83, 3 Ac 2.96-3.03
S: 0.0306 0.8411 0.8803  1 Sm 2.78, 3 Ac 2.97-3.02

***

7.
Density functional theory data (PBE) for a relaxed structure of KRb2Zr3Se8.

calculated total energy = -5.241 eV/atom
ΔE_f (raw) = -1201.2 meV/atom
spin magnetization = 0.00 μB/cell

Unit cell a=7.9540 b=7.9540 c=25.3163 alpha=90.00 beta=90.00 gamma=120.00
Last column: nearest neighbours and their distance in Å.
Space group R3m (No. 160, hexagonal axes)
One atom of each set of equivalent atoms:
K: 0.0000 0.0000 0.0000  4 Se 3.18-3.30
Rb: 0.0000 0.0000 0.3595  6 Se 3.48
Rb: 0.0000 0.0000 0.7153  4 Se 3.25-3.26
Zr: 0.0004 0.5002 0.8593  6 Se 2.68-2.78
Se: 0.0000 0.0000 0.1303  3 Zr 2.78
Se: 0.0000 0.0000 0.5864  3 Zr 2.76
Se: 0.0198 0.5099 0.1339  2 Zr 2.68
Se: 0.1760 0.3521 0.9189  2 Zr 2.69-2.70

***

8.
Density functional theory data (PBE) for a relaxed structure of BaSrMn2.

offset from the most stable computed form = 395.1 meV per atom
calculated total energy = -4.708 eV/atom
energy relative to the elements = 0.7784 eV per atom
spin magnetization = 15.67 μB/cell

Unit cell a=4.9678 b=4.9678 c=10.0963 alpha=90.00 beta=90.00 gamma=90.00
Last column: nearest neighbours and their distance in Å.
Space group I-4m2 (No. 119)
One atom of each set of equivalent atoms:
Ba: 0.0000 0.0000 0.0000  8 Mn 3.51-3.54, 4 Sr 3.54
Sr: 0.0000 0.5000 0.2500  8 Mn 3.51-3.54, 4 Ba 3.54
Mn: 0.0000 0.0000 0.5000  4 Ba 3.51, 4 Mn 3.54, 4 Sr 3.54
Mn: 0.0000 0.5000 0.7500  4 Sr 3.51, 4 Ba 3.54, 4 Mn 3.54

***

9.
Density functional theory data (PBE) for a relaxed structure of Fe2TeW.

calculated total energy = -7.690 eV/atom
ΔE_f (raw) = 565.4 meV/atom
spin magnetization = 18.36 μB/cell

Unit cell a=6.2405 b=6.2405 c=6.2405 alpha=90.00 beta=90.00 gamma=90.00
Last column: nearest neighbours and their distance in Å.
Space group F-43m (No. 216)
One atom of each set of equivalent atoms:
Fe: 0.0000 0.0000 0.0000  4 Fe 2.70, 4 W 2.70
Fe: 0.2500 0.2500 0.2500  4 Fe 2.70, 4 Te 2.70
Te: 0.0000 0.0000 0.5000  4 W 2.70, 4 Fe 2.70
W: 0.2500 0.2500 0.7500  4 Fe 2.70, 4 Te 2.70

***

10.
Density functional theory data (PBE) for a relaxed structure of InHg3Pt.

offset from the most stable computed form = 777.5 meV per atom
calculated total energy = -1.102 eV/atom
energy relative to the elements = 0.8352 eV per atom
spin magnetization = 0.01 μB/cell

Unit cell a=5.4420 b=5.4420 c=5.4420 alpha=90.00 beta=90.00 gamma=90.00
Last column: nearest neighbours and their distance in Å.
Space group Pm-3m (No. 221)
One atom of each set of equivalent atoms:
In: 0.0000 0.0000 0.0000  6 Hg 2.72
Hg: 0.0000 0.0000 0.5000  2 In 2.72
Pt: 0.5000 0.5000 0.5000  12 Hg 3.85

***

11.
Density functional theory data (PBE) for a relaxed structure of TbYCu2Ge2.

calculated total energy = -5.448 eV/atom
energy relative to the elements = -0.6944 eV per atom
spin magnetization = 0.00 μB/cell

Unit cell a=4.2446 b=4.2446 c=7.4533 alpha=90.00 beta=90.00 gamma=120.00
Last column: nearest neighbours and their distance in Å.
Space group P-3m1 (No. 164)
One atom of each set of equivalent atoms:
Tb: 0.0000 0.0000 0.0000  6 Ge 3.08, 6 Cu 3.08
Y: 0.0000 0.0000 0.5000  6 Cu 3.07, 6 Ge 3.08
Cu: 0.3333 0.6667 0.7491  3 Ge 2.45
Ge: 0.3333 0.6667 0.2500  3 Cu 2.45

***

12.
Density functional theory data (PBE) for a relaxed structure of Rb2Pa3O8.

calculated total energy = -8.517 eV/atom
ΔE_f (raw) = -3125.2 meV/atom
spin magnetization = 2.10 μB/cell

Unit cell a=13.4435 b=7.1882 c=6.1163 alpha=90.00 beta=110.36 gamma=90.00
Last column: nearest neighbours and their distance in Å.
Space group C2/m (No. 12)
One atom of each set of equivalent atoms:
Rb: 0.2117 0.0000 0.1553  6 O 2.86-3.20
Pa: 0.0000 0.2421 0.5000  6 O 2.18-2.35
Pa: 0.0000 0.5000 0.0000  6 O 2.19-2.31
O: 0.0823 0.5000 0.4000  3 Pa 2.31-2.35
O: 0.0838 0.2885 0.8721  2 Pa 2.19
O: 0.0920 0.0000 0.4682  2 Pa 2.18

***

13.
Density functional theory data (PBE) for a relaxed structure of LiErGe2.

offset from the most stable computed form = 0.0 meV per atom
calculated total energy = -4.521 eV/atom
energy relative to the elements = -0.5936 eV per atom
spin magnetization = 0.00 μB/cell

Unit cell a=7.8665 b=3.8463 c=10.2590 alpha=90.00 beta=90.00 gamma=90.00
Last column: nearest neighbours and their distance in Å.
Space group Pnma (No. 62)
One atom of each set of equivalent atoms:
Li: 0.0209 0.2500 0.1018  5 Ge 2.51-2.74
Er: 0.1313 0.7500 0.3605  8 Ge 2.97-3.22
Ge: 0.1509 0.7500 0.6920  2 Li 2.51-2.74, 2 Ge 2.52
Ge: 0.2380 0.7500 0.0572  2 Ge 2.52, 3 Li 2.61

***

14.
Density functional theory data (PBE) for a relaxed structure of GeI3Br.

offset from the most stable computed form = 518.2 meV per atom
calculated total energy = -2.021 eV/atom
ΔE_f (raw) = 166.9 meV/atom
spin magnetization = 1.61 μB/cell

Unit cell a=5.7450 b=5.7450 c=5.7450 alpha=90.00 beta=90.00 gamma=90.00
Last column: nearest neighbours and their distance in Å.
Space group Pm-3m (No. 221)
One atom of each set of equivalent atoms:
Ge: 0.0000 0.0000 0.0000  6 I 2.87
I: 0.0000 0.0000 0.5000  2 Ge 2.87
Br: 0.5000 0.5000 0.5000  12 I 4.06

***

15.
Density functional theory data (PBE) for a relaxed structure of DyScPtPb.

calculated total energy = -5.869 eV/atom
energy relative to the elements = -0.6983 eV per atom
spin magnetization = 0.00 μB/cell

Unit cell a=7.1519 b=7.1519 c=7.1519 alpha=90.00 beta=90.00 gamma=90.00
Last column: nearest neighbours and their distance in Å.
Space group F-43m (No. 216)
One atom of each set of equivalent atoms:
Dy: 0.0000 0.0000 0.0000  4 Pb 3.10, 4 Pt 3.10
Sc: 0.0000 0.0000 0.5000  4 Pb 3.10, 4 Pt 3.10
Pt: 0.2500 0.2500 0.2500  4 Dy 3.10, 4 Sc 3.10
Pb: 0.2500 0.2500 0.7500  4 Dy 3.10, 4 Sc 3.10

***

16.
Density functional theory data (PBE) for a relaxed structure of KRb2MoCl8.

calculated total energy = -3.709 eV/atom
ΔE_f (raw) = -1323.1 meV/atom
spin magnetization = 0.99 μB/cell

Unit cell a=5.9851 b=7.6706 c=9.8990 alpha=89.97 beta=89.98 gamma=71.68
Last column: nearest neighbours and their distance in Å.
Space group P-1 (No. 2)
One atom of each set of equivalent atoms:
K: 0.0000 0.0000 0.0000  2 Cl 3.08
Rb: 0.4990 0.4996 0.2442  4 Cl 3.14-3.43
Mo: 0.0000 0.0000 0.5000  6 Cl 2.35-2.37
Cl: 0.0770 0.1908 0.3298  1 Mo 2.37
Cl: 0.0775 0.1900 0.6703  1 Mo 2.37
Cl: 0.3966 0.8176 0.4997  1 Mo 2.35
Cl: 0.4808 0.2444 0.9997  1 K 3.08, 2 Rb 3.14

***

17.
Density functional theory data (PBE) for a relaxed structure of LuFe10Si2.

offset from the most stable computed form = 67.4 meV per atom
calculated total energy = -7.883 eV/atom
ΔE_f (raw) = -190.9 meV/atom
spin magnetization = 78.19 μB/cell

Unit cell a=4.7832 b=11.5315 c=11.6947 alpha=90.00 beta=90.00 gamma=90.00
Last column: nearest neighbours and their distance in Å.
Space group Fmmm (No. 69)
One atom of each set of equivalent atoms:
Lu: 0.0000 0.0000 0.0000  16 Fe 2.95-3.16, 4 Si 3.12
Fe: 0.0000 0.1098 0.3909  2 Si 2.38, 8 Fe 2.40-2.65
Fe: 0.0000 0.1813 0.1774  4 Fe 2.32-2.55, 2 Si 2.52
Fe: 0.2500 0.0000 0.2500  10 Fe 2.39-2.55
Si: 0.2500 0.2500 0.0000  8 Fe 2.38-2.52, 2 Si 2.39

***

18.
Density functional theory data (PBE) for a relaxed structure of Y2ScAg2.

offset from the most stable computed form = 0.0 meV per atom
calculated total energy = -5.187 eV/atom
energy relative to the elements = -0.1943 eV per atom
spin magnetization = 0.00 μB/cell

Unit cell a=8.2319 b=8.2319 c=3.6887 alpha=90.00 beta=90.00 gamma=90.00
Last column: nearest neighbours and their distance in Å.
Space group P4/mbm (No. 127)
One atom of each set of equivalent atoms:
Y: 0.1707 0.3293 0.0000  6 Ag 2.99-3.09
Sc: 0.0000 0.0000 0.5000  4 Ag 3.24, 8 Y 3.57
Ag: 0.1272 0.6272 0.5000  1 Ag 2.96, 6 Y 2.99-3.09, 2 Sc 3.24

***

19.
Density functional theory data (PBE) for a relaxed structure of Sm3Bi5S12.

calculated total energy = -4.991 eV/atom
ΔE_f (raw) = -836.6 meV/atom
spin magnetization = 0.00 μB/cell

Unit cell a=16.5021 b=16.5021 c=16.5021 alpha=90.00 beta=90.00 gamma=90.00
Last column: nearest neighbours and their distance in Å.
Space group Ia-3d (No. 230)
One atom of each set of equivalent atoms:
Sm: 0.0000 0.2500 0.1250  8 S 3.01-3.04
Bi: 0.0000 0.0000 0.0000  6 S 2.81
Bi: 0.0000 0.2500 0.3750  4 S 2.67
S: 0.0154 0.0704 0.6542  2 Bi 2.67-2.81